20
Lattice="3.621 0.000 0.000 0.000 10.156 0.000 0.000 0.000 10.156" Properties=species:S:1:pos:R:3 comment="Li2Ca2Ga5Ir (PBE, relaxed)" formation_enthalpy_0k_ev_per_atom=-0.336 pbc="T T T"
Li 0.000 1.280 6.358
Li 0.000 8.876 3.798
Li 0.000 6.358 8.876
Li 0.000 3.798 1.280
Ca 0.000 6.882 1.804
Ca 0.000 3.274 8.352
Ca 0.000 1.804 3.274
Ca 0.000 8.352 6.882
Ga 1.810 1.875 0.509
Ga 1.810 8.281 9.648
Ga 1.810 0.509 8.281
Ga 1.810 6.953 4.570
Ga 1.810 9.648 1.875
Ga 1.810 3.203 5.587
Ga 1.810 5.587 6.953
Ga 1.810 4.570 3.203
Ga 1.810 5.078 0.000
Ga 1.810 0.000 5.078
Ir 0.000 0.000 0.000
Ir 0.000 5.078 5.078



5
Lattice="-1.842 2.128 -2.892 -0.932 -3.422 -1.924 -5.490 -0.334 3.252" Properties=species:S:1:pos:R:3 comment="SbTeSeN2 (PBE, relaxed)" formation_energy_uncorrected_ev_per_atom=1.239 pbc="T T T"
Sb 0.000 0.000 0.000
Te -4.132 -0.814 -0.782
Se -2.745 -0.167 1.626
N -0.466 -1.711 -0.962
N -0.921 1.064 -1.446



5
Lattice="-0.933 0.171 4.175 2.457 -3.438 0.690 2.973 2.239 0.572" Properties=species:S:1:pos:R:3 comment="NbRuNF2 (PBE, relaxed)" formation_energy_uncorrected_ev_per_atom=0.055 pbc="T T T"
Ru 0.000 0.000 0.000
Nb 2.248 -0.514 2.719
N 1.486 1.120 0.286
F 1.228 -1.719 0.345
F -0.466 0.085 2.088



6
Lattice="0.406 -4.711 -3.707 -4.721 -1.599 -3.355 0.112 0.857 -5.946" Properties=species:S:1:pos:R:3 comment="TlCoHg4 (PBE, relaxed)" formation_enthalpy_0k_ev_per_atom=0.552 pbc="T T T"
Tl -3.152 -4.090 -9.756
Co 0.000 0.000 0.000
Hg -1.370 -4.406 -6.732
Hg -1.518 -1.613 -7.855
Hg -3.942 -2.845 -6.555
Hg -1.574 -2.042 -4.872



4
Lattice="5.371 0.000 0.000 2.686 4.652 0.000 2.686 1.551 4.386" Properties=species:S:1:pos:R:3 comment="NaDyInPb (PBE, relaxed)" formation_enthalpy_0k_ev_per_atom=-0.248 pbc="T T T"
Pb 2.686 1.551 1.096
Na 0.000 0.000 0.000
In 8.057 4.652 3.289
Dy 5.371 3.101 2.193



8
Lattice="6.579 0.000 0.000 0.000 6.579 0.000 3.290 3.290 2.818" Properties=species:S:1:pos:R:3 comment="AlSiRh2 (PBE, relaxed)" formation_energy_uncorrected_ev_per_atom=-0.425 pbc="T T T"
Si 0.000 0.000 0.000
Si 6.579 3.290 1.409
Rh 5.182 1.645 0.704
Rh 1.398 4.934 0.704
Rh 4.934 4.687 2.113
Rh 8.224 8.471 2.113
Al 3.290 3.290 0.000
Al 3.290 6.579 1.409



What did the fifth record say?
4
Lattice="5.371 0.000 0.000 2.686 4.652 0.000 2.686 1.551 4.386" Properties=species:S:1:pos:R:3 comment="NaDyInPb (PBE, relaxed)" formation_enthalpy_0k_ev_per_atom=-0.248 pbc="T T T"
Pb 2.686 1.551 1.096
Na 0.000 0.000 0.000
In 8.057 4.652 3.289
Dy 5.371 3.101 2.193